DyTmMg after structural relaxation. Source: OQMD, functional PBE.

Computed properties:
Energy relative to the lowest polymorph listed for this composition: 0 meV per atom
Spin magnetization: 0.02 μB/atom
Total energy: -3.597 eV/atom

a b c (Å): 3.589 17.314 5.442
angles (deg): 90.00 90.00 90.00
Space group Cmcm (No. 63)
One atom of each set of equivalent atoms:
1 Dy 0.000 0.098 0.250
2 Tm 0.000 0.226 0.750
3 Mg 0.000 0.437 0.250